Ba3NdV3O12: optimized geometry, GGA+U.

Structure (POSCAR):
```
Ba3NdV3O12
1.0
11.686 0.061 0.025
10.254 5.606 0.025
0.799 0.206 9.531
Ba Nd V O
6 2 6 24
Direct
0.005 0.005 0.015 Ba
0.330 0.330 0.650 Ba
0.654 0.654 0.318 Ba
0.800 0.800 0.998 Ba
0.138 0.138 0.658 Ba
0.196 0.196 0.008 Ba
0.507 0.507 0.636 Nd
0.882 0.882 0.334 Nd
0.935 0.935 0.664 V
0.273 0.273 0.319 V
0.604 0.604 0.977 V
0.053 0.053 0.371 V
0.397 0.397 0.017 V
0.740 0.740 0.659 V
0.554 0.554 0.121 O
0.880 0.880 0.794 O
0.229 0.229 0.475 O
0.453 0.453 0.875 O
0.804 0.804 0.533 O
0.108 0.108 0.234 O
0.309 0.821 0.477 O
0.657 0.142 0.118 O
0.982 0.501 0.770 O
0.821 0.309 0.477 O
0.142 0.657 0.118 O
0.501 0.982 0.770 O
0.984 0.984 0.304 O
0.329 0.329 0.950 O
0.673 0.673 0.588 O
0.679 0.184 0.559 O
0.013 0.499 0.220 O
0.343 0.849 0.879 O
0.184 0.679 0.559 O
0.499 0.013 0.220 O
0.849 0.343 0.879 O
0.003 0.003 0.729 O
0.346 0.346 0.365 O
0.675 0.675 0.038 O
```

Computed properties:
Size of the total moment (μB/f.u.): 0.0
Symmetry: Cm, No. 8
Raw total energy (eV/cell): -282.0